[1]
PBE+U CaNpCoO6, optimized geometry; final energy = -140.01 eV per cell; crystal system = trigonal; magnetic moment = 0.00 Bohr magnetons per cell; density = 6.0 Mg/m³
1.0
5.163 0.000 0.000
-2.581 4.471 0.000
0.000 0.000 10.320
Np Ca O Co
2 2 12 2
Direct
0.667 0.333 0.250 Np
0.333 0.667 0.750 Np
0.000 0.000 0.500 Ca
0.000 0.000 0.000 Ca
0.368 0.014 0.644 O
0.368 0.354 0.856 O
0.014 0.368 0.144 O
0.646 0.632 0.644 O
0.632 0.986 0.356 O
0.014 0.646 0.356 O
0.986 0.632 0.856 O
0.632 0.646 0.144 O
0.986 0.354 0.644 O
0.354 0.368 0.356 O
0.646 0.014 0.856 O
0.354 0.986 0.144 O
0.667 0.333 0.750 Co
0.333 0.667 0.250 Co


[2]
PBE+U Ca2Co3O8, optimized geometry; final energy = -155.19 eV per cell; crystal system = hexagonal; magnetic moment = 6.04 Bohr magnetons per cell; density = 4.1 Mg/m³
1.0
0.686 5.101 -2.775
-1.288 -0.075 5.703
10.206 -0.119 2.303
O Co Ca
16 6 4
Direct
0.000 0.000 0.842 O
0.667 0.333 0.650 O
0.522 0.044 0.843 O
0.698 0.849 0.658 O
0.151 0.849 0.658 O
0.478 0.522 0.343 O
0.151 0.302 0.658 O
0.000 0.000 0.342 O
0.849 0.698 0.158 O
0.956 0.478 0.843 O
0.522 0.478 0.843 O
0.478 0.956 0.343 O
0.302 0.151 0.158 O
0.849 0.151 0.158 O
0.044 0.522 0.343 O
0.333 0.667 0.150 O
0.671 0.836 0.246 Co
0.164 0.836 0.246 Co
0.836 0.671 0.746 Co
0.164 0.329 0.246 Co
0.329 0.164 0.746 Co
0.836 0.164 0.746 Co
0.333 0.667 0.524 Ca
0.667 0.333 0.435 Ca
0.333 0.667 0.935 Ca
0.667 0.333 0.024 Ca


[3]
PBE+U CaCo2O4, optimized geometry; final energy = -85.13 eV per cell; crystal system = trigonal; magnetic moment = 0.00 Bohr magnetons per cell; density = 4.7 Mg/m³
1.0
-3.871 -5.050 -1.016
-1.193 -4.845 4.076
-5.570 -1.270 2.980
Ca Co O
2 4 8
Direct
0.982 0.982 0.982 Ca
0.636 0.636 0.636 Ca
0.143 0.143 0.143 Co
0.632 0.632 0.141 Co
0.141 0.632 0.632 Co
0.632 0.141 0.632 Co
0.405 0.909 0.909 O
0.909 0.909 0.405 O
0.369 0.860 0.369 O
0.410 0.410 0.410 O
0.369 0.369 0.860 O
0.855 0.855 0.855 O
0.909 0.405 0.909 O
0.860 0.369 0.369 O


[4]
PBE+U Ca3CoO6, optimized geometry; final energy = -119.92 eV per cell; crystal system = monoclinic; magnetic moment = 6.06 Bohr magnetons per cell; density = 3.5 Mg/m³
1.0
-5.570 -1.729 2.690
2.055 -5.826 1.159
2.151 1.620 5.832
Ca O Co
6 12 2
Direct
0.751 0.398 0.103 Ca
0.397 0.102 0.749 Ca
0.101 0.750 0.399 Ca
0.250 0.600 0.895 Ca
0.898 0.250 0.602 Ca
0.605 0.901 0.250 Ca
0.224 0.425 0.574 O
0.079 0.264 0.941 O
0.433 0.778 0.564 O
0.723 0.069 0.925 O
0.935 0.722 0.067 O
0.284 0.926 0.080 O
0.926 0.075 0.276 O
0.775 0.576 0.430 O
0.420 0.574 0.216 O
0.559 0.236 0.421 O
0.575 0.431 0.777 O
0.070 0.924 0.725 O
0.501 0.505 0.506 Co
0.994 0.995 0.999 Co


[5]
PBE+U CaCo2O4, optimized geometry; final energy = -85.49 eV per cell; crystal system = tetragonal; magnetic moment = 8.02 Bohr magnetons per cell; density = 4.6 Mg/m³
1.0
-6.237 0.853 0.069
-1.098 -1.149 6.091
4.218 4.104 -2.234
Ca O Co
2 8 4
Direct
0.250 0.750 0.500 Ca
0.500 0.500 0.000 Ca
0.189 0.782 0.862 O
0.561 0.468 0.638 O
0.532 0.169 0.093 O
0.076 0.439 0.907 O
0.674 0.811 0.593 O
0.919 0.326 0.138 O
0.831 0.924 0.362 O
0.218 0.081 0.407 O
0.375 0.125 0.250 Co
0.875 0.625 0.750 Co
0.875 0.125 0.750 Co
0.875 0.125 0.250 Co


[6]
PBE+U Ca3Co2O6, optimized geometry; final energy = -67.81 eV per cell; crystal system = tetragonal; magnetic moment = 7.30 Bohr magnetons per cell; density = 4.0 Mg/m³
1.0
3.781 0.000 -0.742
-0.146 3.778 -0.742
-0.056 -0.058 9.719
Co O Ca
2 6 3
Direct
0.604 0.604 0.208 Co
0.396 0.396 0.792 Co
0.702 0.702 0.404 O
0.084 0.584 0.168 O
0.416 0.916 0.832 O
0.916 0.416 0.832 O
0.584 0.084 0.168 O
0.298 0.298 0.596 O
0.000 0.000 0.000 Ca
0.825 0.825 0.649 Ca
0.175 0.175 0.351 Ca